Record 1
Material: TeOs2Se
Method: DFT, PBE-GGA
State: optimized geometry

- formation energy from raw total energies (eV per atom) = 1.15
- space-group type = Pmmm (47)
- volume (A^3/atom) = 17.4
- magnetization (μB per formula unit) = 0.0
- uncorrected energy (eV/atom) = -6.119
- distance to the lowest polymorph of the same formula (meV per atom) = 782

```
data_TeOs2Se
_cell_length_a 2.9887
_cell_length_b 4.6232
_cell_length_c 5.0451
_cell_angle_alpha 90.00
_cell_angle_beta 90.00
_cell_angle_gamma 90.00
_space_group_name_H-M_alt 'P 1'
_space_group_IT_number 1
loop_
_space_group_symop_operation_xyz
'x,y,z'
loop_
_atom_site_label
_atom_site_type_symbol
_atom_site_fract_x
_atom_site_fract_y
_atom_site_fract_z
_atom_site_occupancy
Te1 Te 0.0000 0.0000 0.0000 1
Os1 Os 0.0000 0.5000 0.5000 1
Os2 Os 0.5000 0.5000 0.0000 1
Se1 Se 0.5000 0.0000 0.5000 1
```

=====

Record 2
Material: PuGa3Co
Method: DFT, PBE-GGA
State: optimized geometry

- space-group type = Pnma (62)
- volume (A^3/atom) = 17.4
- magnetization (μB per formula unit) = 5.2
- uncorrected energy (eV/atom) = -6.459
- distance to the lowest polymorph of the same formula (meV per atom) = 0

```
data_PuGa3Co
_cell_length_a 8.0536
_cell_length_b 4.0321
_cell_length_c 10.7009
_cell_angle_alpha 90.00
_cell_angle_beta 90.00
_cell_angle_gamma 90.00
_space_group_name_H-M_alt 'P 1'
_space_group_IT_number 1
loop_
_space_group_symop_operation_xyz
'x,y,z'
loop_
_atom_site_label
_atom_site_type_symbol
_atom_site_fract_x
_atom_site_fract_y
_atom_site_fract_z
_atom_site_occupancy
Pu1 Pu 0.1807 0.2500 0.0062 1
Pu2 Pu 0.3193 0.7500 0.5062 1
Pu3 Pu 0.6807 0.2500 0.4938 1
Pu4 Pu 0.8193 0.7500 0.9938 1
Ga1 Ga 0.0536 0.2500 0.5826 1
Ga2 Ga 0.1042 0.7500 0.7822 1
Ga3 Ga 0.1451 0.7500 0.2179 1
Ga4 Ga 0.3549 0.2500 0.7179 1
Ga5 Ga 0.3958 0.2500 0.2822 1
Ga6 Ga 0.4464 0.7500 0.0826 1
Ga7 Ga 0.5536 0.2500 0.9174 1
Ga8 Ga 0.6042 0.7500 0.7178 1
Ga9 Ga 0.6451 0.7500 0.2821 1
Ga10 Ga 0.8549 0.2500 0.7821 1
Ga11 Ga 0.8958 0.2500 0.2178 1
Ga12 Ga 0.9464 0.7500 0.4174 1
Co1 Co 0.1221 0.2500 0.3597 1
Co2 Co 0.3779 0.7500 0.8597 1
Co3 Co 0.6221 0.2500 0.1403 1
Co4 Co 0.8779 0.7500 0.6403 1
```

=====

Record 3
Material: TiI3O
Method: DFT, PBE-GGA
State: optimized geometry

- formation energy from raw total energies (eV per atom) = 0.64
- space-group type = Pm-3m (221)
- volume (A^3/atom) = 26.2
- magnetization (μB per formula unit) = 0.3
- uncorrected energy (eV/atom) = -2.858

```
data_TiI3O
_cell_length_a 5.0783
_cell_length_b 5.0783
_cell_length_c 5.0783
_cell_angle_alpha 90.00
_cell_angle_beta 90.00
_cell_angle_gamma 90.00
_space_group_name_H-M_alt 'P 1'
_space_group_IT_number 1
loop_
_space_group_symop_operation_xyz
'x,y,z'
loop_
_atom_site_label
_atom_site_type_symbol
_atom_site_fract_x
_atom_site_fract_y
_atom_site_fract_z
_atom_site_occupancy
Ti1 Ti 0.0000 0.0000 0.0000 1
I1 I 0.0000 0.5000 0.5000 1
I2 I 0.5000 0.0000 0.5000 1
I3 I 0.5000 0.5000 0.0000 1
O1 O 0.5000 0.5000 0.5000 1
```

=====

Record 4
Material: PuMg5Au4
Method: DFT, PBE-GGA
State: optimized geometry

- space-group type = P4/mmm (123)
- volume (A^3/atom) = 19.8
- magnetization (μB per formula unit) = 6.2
- uncorrected energy (eV/atom) = -3.994

```
data_PuMg5Au4
_cell_length_a 3.3261
_cell_length_b 3.3261
_cell_length_c 17.8754
_cell_angle_alpha 90.00
_cell_angle_beta 90.00
_cell_angle_gamma 90.00
_space_group_name_H-M_alt 'P 1'
_space_group_IT_number 1
loop_
_space_group_symop_operation_xyz
'x,y,z'
loop_
_atom_site_label
_atom_site_type_symbol
_atom_site_fract_x
_atom_site_fract_y
_atom_site_fract_z
_atom_site_occupancy
Pu1 Pu 0.0000 0.0000 0.0000 1
Mg1 Mg 0.5000 0.5000 0.1394 1
Mg2 Mg 0.5000 0.5000 0.3184 1
Mg3 Mg 0.5000 0.5000 0.5000 1
Mg4 Mg 0.5000 0.5000 0.6816 1
Mg5 Mg 0.5000 0.5000 0.8606 1
Au1 Au 0.0000 0.0000 0.2261 1
Au2 Au 0.0000 0.0000 0.4091 1
Au3 Au 0.0000 0.0000 0.5909 1
Au4 Au 0.0000 0.0000 0.7739 1
```

=====

Record 5
Material: DyYPt
Method: DFT, PBE-GGA
State: optimized geometry

- space-group type = F-43m (216)
- volume (A^3/atom) = 27.2
- magnetization (μB per formula unit) = 0.0
- uncorrected energy (eV/atom) = -6.563
- distance to the lowest polymorph of the same formula (meV per atom) = 3

```
data_DyYPt
_cell_length_a 6.8826
_cell_length_b 6.8826
_cell_length_c 6.8826
_cell_angle_alpha 90.00
_cell_angle_beta 90.00
_cell_angle_gamma 90.00
_space_group_name_H-M_alt 'P 1'
_space_group_IT_number 1
loop_
_space_group_symop_operation_xyz
'x,y,z'
loop_
_atom_site_label
_atom_site_type_symbol
_atom_site_fract_x
_atom_site_fract_y
_atom_site_fract_z
_atom_site_occupancy
Dy1 Dy 0.0000 0.0000 0.0000 1
Dy2 Dy 0.0000 0.5000 0.5000 1
Dy3 Dy 0.5000 0.0000 0.5000 1
Dy4 Dy 0.5000 0.5000 0.0000 1
Y1 Y 0.0000 0.0000 0.5000 1
Y2 Y 0.0000 0.5000 0.0000 1
Y3 Y 0.5000 0.0000 0.0000 1
Y4 Y 0.5000 0.5000 0.5000 1
Pt1 Pt 0.2500 0.2500 0.7500 1
Pt2 Pt 0.2500 0.7500 0.2500 1
Pt3 Pt 0.7500 0.2500 0.2500 1
Pt4 Pt 0.7500 0.7500 0.7500 1
```

=====

Record 6
Material: CsIrNF
Method: DFT, PBE-GGA
State: optimized geometry

- formation energy from raw total energies (eV per atom) = -0.56
- space-group type = Pmmm (47)
- volume (A^3/atom) = 21.0
- magnetization (μB per formula unit) = 0.0
- uncorrected energy (eV/atom) = -5.542
- distance to the lowest polymorph of the same formula (meV per atom) = 0

```
data_CsIrNF
_cell_length_a 3.7235
_cell_length_b 4.3856
_cell_length_c 5.1487
_cell_angle_alpha 90.00
_cell_angle_beta 90.00
_cell_angle_gamma 90.00
_space_group_name_H-M_alt 'P 1'
_space_group_IT_number 1
loop_
_space_group_symop_operation_xyz
'x,y,z'
loop_
_atom_site_label
_atom_site_type_symbol
_atom_site_fract_x
_atom_site_fract_y
_atom_site_fract_z
_atom_site_occupancy
Cs1 Cs 0.0000 0.0000 0.0000 1
Ir1 Ir 0.5000 0.5000 0.5000 1
N1 N 0.0000 0.5000 0.5000 1
F1 F 0.5000 0.0000 0.5000 1
```

=====

Record 7
Material: YBe2Sb
Method: DFT, PBE-GGA
State: optimized geometry

- formation energy from raw total energies (eV per atom) = 0.11
- space-group type = I-4m2 (119)
- volume (A^3/atom) = 18.5
- magnetization (μB per formula unit) = 0.0
- uncorrected energy (eV/atom) = -4.396

```
data_YBe2Sb
_cell_length_a 3.9668
_cell_length_b 3.9668
_cell_length_c 9.3979
_cell_angle_alpha 90.00
_cell_angle_beta 90.00
_cell_angle_gamma 90.00
_space_group_name_H-M_alt 'P 1'
_space_group_IT_number 1
loop_
_space_group_symop_operation_xyz
'x,y,z'
loop_
_atom_site_label
_atom_site_type_symbol
_atom_site_fract_x
_atom_site_fract_y
_atom_site_fract_z
_atom_site_occupancy
Y1 Y 0.0000 0.0000 0.0000 1
Y2 Y 0.5000 0.5000 0.5000 1
Be1 Be 0.0000 0.0000 0.5000 1
Be2 Be 0.0000 0.5000 0.7500 1
Be3 Be 0.5000 0.0000 0.2500 1
Be4 Be 0.5000 0.5000 0.0000 1
Sb1 Sb 0.0000 0.5000 0.2500 1
Sb2 Sb 0.5000 0.0000 0.7500 1
```

=====

Record 8
Material: ThMnI
Method: DFT, PBE-GGA
State: optimized geometry

- formation energy from raw total energies (eV per atom) = -0.57
- space-group type = C2/m (12)
- volume (A^3/atom) = 30.1
- magnetization (μB per formula unit) = 0.0
- uncorrected energy (eV/atom) = -6.617

```
data_ThMnI
_cell_length_a 7.1615
_cell_length_b 3.9777
_cell_length_c 12.9148
_cell_angle_alpha 90.00
_cell_angle_beta 101.35
_cell_angle_gamma 90.00
_space_group_name_H-M_alt 'P 1'
_space_group_IT_number 1
loop_
_space_group_symop_operation_xyz
'x,y,z'
loop_
_atom_site_label
_atom_site_type_symbol
_atom_site_fract_x
_atom_site_fract_y
_atom_site_fract_z
_atom_site_occupancy
Th1 Th 0.0458 0.0000 0.1520 1
Th2 Th 0.4542 0.5000 0.8480 1
Th3 Th 0.5458 0.5000 0.1520 1
Th4 Th 0.9542 0.0000 0.8480 1
Mn1 Mn 0.1727 0.5000 0.9847 1
Mn2 Mn 0.3273 0.0000 0.0153 1
Mn3 Mn 0.6727 0.0000 0.9847 1
Mn4 Mn 0.8273 0.5000 0.0153 1
I1 I 0.2182 0.0000 0.6624 1
I2 I 0.2818 0.5000 0.3376 1
I3 I 0.7182 0.5000 0.6624 1
I4 I 0.7818 0.0000 0.3376 1
```